[1]
Here is a relaxed structure of CuHS2Cl from Alexandria via LeMat-Bulk. Energies are from PBE-GGA.

Output
Calculated total energy: -3.0898 eV/atom
Crystal system: tetragonal
Energy relative to the lowest polymorph listed for this composition: 0.0 kJ per mole of atoms

a = 3.5394 Å, b = 3.5394 Å, c = 7.2994 Å
α = 90.00°, β = 90.00°, γ = 90.00°
Element x y z (fractional)
H 0.0000 0.0000 0.0000
S 0.0000 0.5000 0.0000
S 0.5000 0.0000 0.0000
Cu 0.5000 0.5000 0.5000
Cl 0.0000 0.0000 0.5000



[2]
Here is a relaxed structure of ScCuHCl2 from Alexandria via LeMat-Bulk. Energies are from PBE-GGA.

Output
Calculated total energy: -3.7197 eV/atom
Crystal system: tetragonal

a = 4.9563 Å, b = 5.3008 Å, c = 4.9563 Å
α = 90.00°, β = 90.00°, γ = 90.00°
Last column: magnetic moment on the atom in μB.
Element x y z (fractional)
Sc 0.0000 0.0000 0.0000  0.03
H 0.5000 0.5000 0.5000  0.37
Cu 0.0000 0.5000 0.0000  0.01
Cl 0.0000 0.0000 0.5000  0.01
Cl 0.5000 0.0000 0.0000  0.01



[3]
Here is a relaxed structure of CuHWCl2 from Alexandria via LeMat-Bulk. Energies are from PBE-GGA.

Output
Calculated total energy: -3.8956 eV/atom
Crystal system: tetragonal

a = 4.6833 Å, b = 3.5097 Å, c = 4.6833 Å
α = 90.00°, β = 90.00°, γ = 90.00°
Last column: magnetic moment on the atom in μB.
Element x y z (fractional)
H 0.0000 0.0000 0.0000  -0.03
Cu 0.5000 0.5000 0.5000  0.04
W 0.0000 0.5000 0.0000  2.31
Cl 0.0000 0.0000 0.5000  0.01
Cl 0.5000 0.0000 0.0000  0.01



[4]
Here is a relaxed structure of HfCu3Cl from Alexandria via LeMat-Bulk. Energies are from PBE-GGA.

Output
Calculated total energy: -3.9324 eV/atom
Uncorrected formation energy: 0.89 eV per atom
Crystal system: cubic
Energy relative to the lowest polymorph listed for this composition: 0.0 kJ per mole of atoms

a = 4.4515 Å, b = 4.4515 Å, c = 4.4515 Å
α = 90.00°, β = 90.00°, γ = 90.00°
Element x y z (fractional)
Hf 0.5000 0.5000 0.5000
Cu 0.0000 0.5000 0.0000
Cu 0.0000 0.0000 0.5000
Cu 0.5000 0.0000 0.0000
Cl 0.0000 0.0000 0.0000



[5]
Here is a relaxed structure of HfCuCl2 from Alexandria via LeMat-Bulk. Energies are from PBE-GGA.

Output
Calculated total energy: -4.5189 eV/atom
Uncorrected formation energy: -0.08 eV per atom
Crystal system: cubic
Energy relative to the lowest polymorph listed for this composition: 0.0 kJ per mole of atoms

a = 4.5519 Å, b = 4.5519 Å, c = 4.5519 Å
α = 60.00°, β = 60.00°, γ = 60.00°
Element x y z (fractional)
Hf 0.5000 0.5000 0.5000
Cu 0.0000 0.0000 0.0000
Cl 0.2500 0.2500 0.2500
Cl 0.7500 0.7500 0.7500



[6]
Here is a relaxed structure of Hf2CuCl from Alexandria via LeMat-Bulk. Energies are from PBE-GGA.

Output
Calculated total energy: -6.1427 eV/atom
Uncorrected formation energy: 0.32 eV per atom
Crystal system: tetragonal
Energy relative to the lowest polymorph listed for this composition: 36.3 kJ per mole of atoms

a = 4.8147 Å, b = 4.8147 Å, c = 8.2468 Å
α = 73.03°, β = 73.03°, γ = 90.00°
Element x y z (fractional)
Hf 0.6188 0.1250 0.2500
Hf 0.1312 0.6250 0.2500
Hf 0.3750 0.3812 0.7500
Hf 0.8750 0.8688 0.7500
Cu 0.0000 0.0000 0.0000
Cu 0.7500 0.2500 0.5000
Cl 0.5000 0.5000 0.0000
Cl 0.2500 0.7500 0.5000



Number 1: Fermi-level density of states 1.1 states/eV per cell. Number 2: Fermi-level density of states 0.0 states/eV per cell. Number 3: Fermi-level density of states 2.3 states/eV per cell. Number 4: Fermi-level density of states 3.7 states/eV per cell. Number 5: Fermi-level density of states 2.9 states/eV per cell. Number 6: Fermi-level density of states 1.8 states/eV per cell.